No. 1
Material: Ba3TbPa2N6
Method: DFT, GGA-PBE
State: relaxed

Properties
Crystal system: monoclinic
E in eV/atom: -7.861
Formation energy (no corrections) in eV/atom: -1.25
Theoretical density in Mg/m³: 8.355

abc: 6.304 6.304 6.781
angles: 98.92 98.92 119.95
Sites, in units of the cell vectors:
Ba  0.000  0.000  0.000
Ba  0.338  0.662  0.000
Ba  0.662  0.338  0.000
Tb  0.500  0.500  0.500
Pa  0.167  0.833  0.500
Pa  0.833  0.167  0.500
N  0.088  0.440  0.318
N  0.208  0.208  0.678
N  0.440  0.088  0.318
N  0.560  0.912  0.682
N  0.792  0.792  0.322
N  0.912  0.560  0.682


No. 2
Material: Ba2PaTc2N6
Method: DFT, GGA-PBE
State: relaxed

Properties
Crystal system: monoclinic
E in eV/atom: -8.420
Formation energy (no corrections) in eV/atom: -0.78
Theoretical density in Mg/m³: 6.657

abc: 6.206 6.206 7.065
angles: 118.46 118.46 59.52
Sites, in units of the cell vectors:
Ba  0.217  0.217  0.190
Ba  0.783  0.783  0.810
Pa  0.000  0.000  0.500
Tc  0.455  0.455  0.802
Tc  0.545  0.545  0.198
N  0.217  0.714  0.240
N  0.251  0.251  0.650
N  0.286  0.783  0.760
N  0.714  0.217  0.240
N  0.749  0.749  0.350
N  0.783  0.286  0.760


No. 3
Material: BaPa2TcN4
Method: DFT, GGA-PBE
State: relaxed

Properties
Crystal system: orthorhombic
E in eV/atom: -9.173
Formation energy (no corrections) in eV/atom: -1.10
Theoretical density in Mg/m³: 9.430

abc: 6.341 6.341 12.158
angles: 90.00 90.00 147.13
Sites, in units of the cell vectors:
Ba  0.077  0.923  0.750
Ba  0.923  0.077  0.250
Pa  0.365  0.635  0.555
Pa  0.365  0.635  0.945
Pa  0.635  0.365  0.055
Pa  0.635  0.365  0.445
Tc  0.187  0.813  0.250
Tc  0.813  0.187  0.750
N  0.000  0.000  0.000
N  0.000  0.000  0.500
N  0.252  0.748  0.094
N  0.252  0.748  0.406
N  0.406  0.594  0.750
N  0.594  0.406  0.250
N  0.748  0.252  0.594
N  0.748  0.252  0.906


No. 4
Material: BaPa4Tc3N12
Method: DFT, GGA-PBE
State: relaxed

Properties
Crystal system: cubic
E in eV/atom: -9.150
Formation energy (no corrections) in eV/atom: -0.61
Theoretical density in Mg/m³: 8.939

abc: 7.164 7.164 7.164
angles: 109.47 109.47 109.47
Sites, in units of the cell vectors:
Ba  0.000  0.000  0.000
Pa  0.000  0.000  0.500
Pa  0.000  0.500  0.000
Pa  0.500  0.000  0.000
Pa  0.500  0.500  0.500
Tc  0.000  0.500  0.500
Tc  0.500  0.000  0.500
Tc  0.500  0.500  0.000
N  0.160  0.835  0.325
N  0.165  0.325  0.490
N  0.165  0.675  0.840
N  0.325  0.160  0.835
N  0.325  0.490  0.165
N  0.490  0.165  0.325
N  0.510  0.835  0.675
N  0.675  0.510  0.835
N  0.675  0.840  0.165
N  0.835  0.325  0.160
N  0.835  0.675  0.510
N  0.840  0.165  0.675


No. 5
Material: BaPaTcN3
Method: DFT, GGA-PBE
State: relaxed

Properties
Crystal system: monoclinic
E in eV/atom: -8.610
Formation energy (no corrections) in eV/atom: -0.82
Theoretical density in Mg/m³: 7.655

abc: 8.030 3.526 8.045
angles: 90.00 104.46 90.00
Sites, in units of the cell vectors:
Ba  0.193  0.250  0.218
Ba  0.807  0.750  0.782
Pa  0.346  0.750  0.839
Pa  0.654  0.250  0.161
Tc  0.085  0.250  0.593
Tc  0.915  0.750  0.407
N  0.159  0.250  0.854
N  0.181  0.750  0.492
N  0.460  0.750  0.125
N  0.540  0.250  0.875
N  0.819  0.250  0.508
N  0.841  0.750  0.146


No. 6
Material: Ba2ThPaN4
Method: DFT, GGA-PBE
State: relaxed

Properties
Crystal system: monoclinic
E in eV/atom: -8.006
Formation energy (no corrections) in eV/atom: -1.25
Theoretical density in Mg/m³: 8.541

abc: 6.430 3.711 6.815
angles: 90.00 108.40 90.00
Sites, in units of the cell vectors:
Ba  0.000  0.000  0.000
Ba  0.500  0.500  0.000
Th  0.000  0.500  0.500
Pa  0.500  0.000  0.500
N  0.246  0.000  0.677
N  0.288  0.500  0.323
N  0.712  0.500  0.677
N  0.754  0.000  0.323


No. 7
Material: BaThPaN3
Method: DFT, GGA-PBE
State: relaxed

Properties
Crystal system: monoclinic
E in eV/atom: -8.321
Formation energy (no corrections) in eV/atom: -1.02
Theoretical density in Mg/m³: 7.399

abc: 7.847 3.861 9.695
angles: 90.00 100.94 90.00
Sites, in units of the cell vectors:
Ba  0.172  0.250  0.152
Ba  0.828  0.750  0.848
Th  0.364  0.750  0.859
Th  0.636  0.250  0.141
Pa  0.068  0.250  0.605
Pa  0.932  0.750  0.395
N  0.136  0.250  0.835
N  0.204  0.750  0.613
N  0.432  0.750  0.104
N  0.568  0.250  0.896
N  0.796  0.250  0.387
N  0.864  0.750  0.165


No. 8
Material: BaThPaN4
Method: DFT, GGA-PBE
State: relaxed

Properties
Crystal system: tetragonal
E in eV/atom: -8.526
Formation energy (no corrections) in eV/atom: -1.08
Theoretical density in Mg/m³: 8.732

abc: 4.317 4.317 13.398
angles: 90.00 90.00 90.00
Sites, in units of the cell vectors:
Ba  0.000  0.000  0.000
Ba  0.500  0.500  0.500
Th  0.000  0.000  0.703
Th  0.500  0.500  0.203
Pa  0.000  0.000  0.351
Pa  0.500  0.500  0.851
N  0.000  0.000  0.185
N  0.000  0.000  0.534
N  0.000  0.500  0.323
N  0.000  0.500  0.823
N  0.500  0.000  0.323
N  0.500  0.000  0.823
N  0.500  0.500  0.034
N  0.500  0.500  0.685


No. 9
Material: Ba3Th2PaN6
Method: DFT, GGA-PBE
State: relaxed

Properties
Crystal system: monoclinic
E in eV/atom: -7.902
Formation energy (no corrections) in eV/atom: -1.23
Theoretical density in Mg/m³: 8.435

abc: 6.471 6.471 6.816
angles: 99.10 99.10 119.98
Sites, in units of the cell vectors:
Ba  0.000  0.000  0.000
Ba  0.333  0.667  0.000
Ba  0.667  0.333  0.000
Th  0.167  0.833  0.500
Th  0.833  0.167  0.500
Pa  0.500  0.500  0.500
N  0.123  0.439  0.318
N  0.245  0.245  0.685
N  0.439  0.123  0.318
N  0.561  0.877  0.682
N  0.755  0.755  0.315
N  0.877  0.561  0.682


No. 10
Material: BaTh3Pa4N12
Method: DFT, GGA-PBE
State: relaxed

Properties
Crystal system: cubic
E in eV/atom: -9.527
Formation energy (no corrections) in eV/atom: -1.42
Theoretical density in Mg/m³: 9.797

abc: 7.512 7.512 7.512
angles: 109.47 109.47 109.47
Sites, in units of the cell vectors:
Ba  0.000  0.000  0.000
Th  0.000  0.500  0.500
Th  0.500  0.000  0.500
Th  0.500  0.500  0.000
Pa  0.000  0.000  0.500
Pa  0.000  0.500  0.000
Pa  0.500  0.000  0.000
Pa  0.500  0.500  0.500
N  0.110  0.802  0.308
N  0.198  0.308  0.506
N  0.198  0.692  0.890
N  0.308  0.110  0.802
N  0.308  0.506  0.198
N  0.494  0.802  0.692
N  0.506  0.198  0.308
N  0.692  0.494  0.802
N  0.692  0.890  0.198
N  0.802  0.308  0.110
N  0.802  0.692  0.494
N  0.890  0.198  0.692


No. 11
Material: BaPaTiN3
Method: DFT, GGA-PBE
State: relaxed

Properties
Crystal system: monoclinic
E in eV/atom: -8.598
Formation energy (no corrections) in eV/atom: -1.22
Theoretical density in Mg/m³: 6.617

abc: 7.776 3.670 8.293
angles: 90.00 103.62 90.00
Sites, in units of the cell vectors:
Ba  0.186  0.250  0.194
Ba  0.814  0.750  0.806
Pa  0.345  0.750  0.847
Pa  0.655  0.250  0.153
Ti  0.094  0.250  0.599
Ti  0.906  0.750  0.401
N  0.147  0.250  0.845
N  0.161  0.750  0.541
N  0.456  0.750  0.120
N  0.544  0.250  0.880
N  0.839  0.250  0.459
N  0.853  0.750  0.155


No. 12
Material: BaPaTiN4
Method: DFT, GGA-PBE
State: relaxed

Properties
Crystal system: monoclinic
E in eV/atom: -8.572
Formation energy (no corrections) in eV/atom: -1.06
Theoretical density in Mg/m³: 6.218

abc: 6.055 5.828 7.629
angles: 90.00 110.47 90.00
Sites, in units of the cell vectors:
Ba  0.195  0.250  0.430
Ba  0.805  0.750  0.570
Pa  0.305  0.250  0.955
Pa  0.695  0.750  0.045
Ti  0.243  0.750  0.170
Ti  0.757  0.250  0.830
N  0.004  0.750  0.937
N  0.025  0.750  0.305
N  0.471  0.513  0.178
N  0.471  0.987  0.178
N  0.529  0.013  0.822
N  0.529  0.487  0.822
N  0.975  0.250  0.695
N  0.996  0.250  0.063


Look up the formation energy (no corrections) of the eleventh one. -1.22 eV/atom


E of number 4 (BaPa4Tc3N12)? -9.150 eV/atom


Which formula does entry 12 have? BaPaTiN4


Please write out number 10 again, unchanged.
Material: BaTh3Pa4N12
Method: DFT, GGA-PBE
State: relaxed

Properties
Crystal system: cubic
E in eV/atom: -9.527
Formation energy (no corrections) in eV/atom: -1.42
Theoretical density in Mg/m³: 9.797

abc: 7.512 7.512 7.512
angles: 109.47 109.47 109.47
Sites, in units of the cell vectors:
Ba  0.000  0.000  0.000
Th  0.000  0.500  0.500
Th  0.500  0.000  0.500
Th  0.500  0.500  0.000
Pa  0.000  0.000  0.500
Pa  0.000  0.500  0.000
Pa  0.500  0.000  0.000
Pa  0.500  0.500  0.500
N  0.110  0.802  0.308
N  0.198  0.308  0.506
N  0.198  0.692  0.890
N  0.308  0.110  0.802
N  0.308  0.506  0.198
N  0.494  0.802  0.692
N  0.506  0.198  0.308
N  0.692  0.494  0.802
N  0.692  0.890  0.198
N  0.802  0.308  0.110
N  0.802  0.692  0.494
N  0.890  0.198  0.692